[1]
# RbMoHIr2

An optimized crystal structure of RbMoHIr2 (GGA-PBE, Alexandria).

abc: 5.118 3.101 5.118
angles: 90.00 90.00 90.00
Atoms (fractional coordinates):
Mo1 0.500 0.500 0.500
Ir1 0.000 0.000 0.500
H1 0.000 0.500 0.000
Ir2 0.500 0.000 0.000
Rb1 0.000 0.000 0.000


[2]
# CsIO2F

An optimized crystal structure of CsIO2F (GGA-PBE, Alexandria).

abc: 4.145 4.145 5.728
angles: 90.00 90.00 90.00
Atoms (fractional coordinates):
Cs1 0.500 0.500 0.500
O1 0.000 0.500 0.000
O2 0.500 0.000 0.000
F1 0.000 0.000 0.500
I1 0.000 0.000 0.000

Values from the calculation:
ΔE_f (raw), eV per atom: -1.042


[3]
# CeCo5

An optimized crystal structure of CeCo5 (GGA-PBE, Alexandria).

abc: 4.872 4.872 4.021
angles: 90.00 90.00 120.00
Atoms (fractional coordinates):
Co1 0.500 0.500 0.500
Co2 0.500 0.000 0.500
Co3 0.333 0.667 0.000
Ce1 0.000 0.000 0.000
Co4 0.667 0.333 0.000
Co5 0.000 0.500 0.500

Values from the calculation:
Calculated formation energy, eV per atom: -0.109


[4]
# Ce3Si6TcNi2

An optimized crystal structure of Ce3Si6TcNi2 (GGA-PBE, Alexandria).

abc: 5.914 5.914 7.316
angles: 90.00 90.00 120.00
Atoms (fractional coordinates):
Si1 0.196 0.392 0.310
Ce1 0.667 0.333 0.327
Tc1 0.000 0.000 0.500
Si2 0.804 0.196 0.690
Ni1 0.667 0.333 0.943
Si3 0.392 0.196 0.690
Ni2 0.333 0.667 0.057
Si4 0.804 0.608 0.690
Si5 0.608 0.804 0.310
Ce2 0.000 0.000 0.000
Ce3 0.333 0.667 0.673
Si6 0.196 0.804 0.310

Values from the calculation:
ΔE_f (raw), eV per atom: -0.411


[5]
# K3Zr2USe6

An optimized crystal structure of K3Zr2USe6 (GGA-PBE, Alexandria).

abc: 6.954 6.954 8.139
angles: 98.20 98.20 120.02
Atoms (fractional coordinates):
K1 0.500 0.500 0.500
Zr1 0.333 0.667 0.000
Se1 0.069 0.414 0.206
Se2 0.723 0.723 0.205
Se3 0.414 0.069 0.206
Se4 0.277 0.277 0.795
Se5 0.931 0.586 0.794
Se6 0.586 0.931 0.794
U1 0.000 0.000 0.000
Zr2 0.667 0.333 0.000
K2 0.836 0.164 0.500
K3 0.164 0.836 0.500

Values from the calculation:
ΔE_f (raw), eV per atom: -1.295


[6]
# NiGeMo3

An optimized crystal structure of NiGeMo3 (GGA-PBE, Alexandria).

abc: 4.474 4.474 4.474
angles: 90.00 90.00 90.00
Atoms (fractional coordinates):
Mo1 0.000 0.500 0.000
Mo2 0.000 0.000 0.500
Ni1 0.000 0.000 0.000
Ge1 0.500 0.500 0.500
Mo3 0.500 0.000 0.000

Values from the calculation:
Calculated formation energy, eV per atom: 1.275
Energy above the most stable polymorph in this dataset, meV per atom: 0


[7]
# Tl2InAuI6

An optimized crystal structure of Tl2InAuI6 (GGA-PBE, Alexandria).

abc: 8.341 8.391 8.466
angles: 60.15 60.54 59.66
Atoms (fractional coordinates):
I1 0.168 0.002 0.260
In1 0.319 0.320 0.040
I2 0.479 0.657 0.748
Au1 0.729 0.739 0.794
Tl1 0.031 0.029 0.914
I3 0.109 0.481 0.752
Tl2 0.588 0.584 0.241
I4 0.003 0.574 0.257
I5 0.575 0.165 0.258
I6 0.660 0.111 0.752

Values from the calculation:
ΔE_f (raw), eV per atom: -0.435


[8]
# Be2Pt

An optimized crystal structure of Be2Pt (GGA-PBE, Alexandria).

abc: 3.732 3.731 2.636
angles: 90.00 90.00 120.01
Atoms (fractional coordinates):
Pt1 0.000 0.000 0.000
Be1 0.667 0.333 0.500
Be2 0.333 0.667 0.500

Values from the calculation:
Calculated formation energy, eV per atom: -0.513
Energy above the most stable polymorph in this dataset, meV per atom: 135


[9]
# NbAl

An optimized crystal structure of NbAl (GGA-PBE, Alexandria).

abc: 5.220 5.220 8.748
angles: 90.00 90.00 120.00
Atoms (fractional coordinates):
Nb1 0.000 0.000 0.000
Al1 0.830 0.170 0.250
Nb2 0.667 0.333 0.542
Al2 0.341 0.170 0.250
Al3 0.830 0.659 0.250
Al4 0.659 0.830 0.750
Nb3 0.333 0.667 0.042
Nb4 0.000 0.000 0.500
Al5 0.170 0.341 0.750
Nb5 0.667 0.333 0.958
Al6 0.170 0.830 0.750
Nb6 0.333 0.667 0.458

Values from the calculation:
Calculated formation energy, eV per atom: -0.180


[10]
# Na3Y3PaSe8

An optimized crystal structure of Na3Y3PaSe8 (GGA-PBE, Alexandria).

abc: 8.313 8.313 8.527
angles: 119.18 90.00 120.00
Atoms (fractional coordinates):
Se1 0.759 0.015 0.274
Pa1 0.000 0.000 0.500
Na1 0.000 0.000 0.000
Y1 0.500 0.500 0.500
Se2 0.743 0.486 0.730
Se3 0.257 0.514 0.270
Y2 0.000 0.500 0.500
Se4 0.744 0.985 0.726
Se5 0.759 0.518 0.274
Se6 0.241 0.482 0.726
Na2 0.000 0.500 0.000
Se7 0.241 0.985 0.726
Y3 0.500 0.000 0.500
Na3 0.500 0.500 0.000
Se8 0.256 0.015 0.274

Values from the calculation:
ΔE_f (raw), eV per atom: -1.632


[11]
# CeTlGaO4

An optimized crystal structure of CeTlGaO4 (GGA-PBE, Alexandria).

abc: 5.687 5.793 8.615
angles: 90.00 114.68 90.00
Atoms (fractional coordinates):
O1 0.975 0.992 0.331
O2 0.025 0.008 0.669
O3 0.025 0.492 0.669
Ce1 0.764 0.750 0.466
Ga1 0.817 0.250 0.682
Ce2 0.236 0.250 0.534
O4 0.450 0.750 0.551
O5 0.975 0.508 0.331
Tl1 0.552 0.250 0.138
O6 0.550 0.250 0.449
O7 0.410 0.750 0.219
Ga2 0.183 0.750 0.318
Tl2 0.448 0.750 0.862
O8 0.590 0.250 0.781

Values from the calculation:
ΔE_f (raw), eV per atom: -2.129


[12]
# NdSmDy3Sc

An optimized crystal structure of NdSmDy3Sc (GGA-PBE, Alexandria).

abc: 4.999 7.897 10.003
angles: 90.00 90.00 108.45
Atoms (fractional coordinates):
Dy1 0.331 0.663 0.500
Dy2 0.331 0.663 0.000
Sc1 0.168 0.337 0.250
Sc2 0.832 0.663 0.750
Sm1 0.000 0.000 0.500
Sm2 0.000 0.000 0.000
Nd1 0.502 0.004 0.250
Dy3 0.170 0.341 0.750
Dy4 0.669 0.337 0.500
Dy5 0.830 0.659 0.250
Dy6 0.669 0.337 0.000
Nd2 0.498 0.996 0.750

Values from the calculation:
Calculated formation energy, eV per atom: 0.039


Number 1: E_tot -0.3100 Ry per atom. Number 2: E_tot -0.2852 Ry per atom. Number 3: E_tot -0.5159 Ry per atom. Number 4: E_tot -0.4728 Ry per atom. Number 5: E_tot -0.4173 Ry per atom. Number 6: E_tot -0.5368 Ry per atom. Number 7: E_tot -0.1793 Ry per atom. Number 8: E_tot -0.3683 Ry per atom. Number 9: E_tot -0.5208 Ry per atom. Number 10: E_tot -0.4175 Ry per atom. Number 11: E_tot -0.4837 Ry per atom. Number 12: E_tot -0.3600 Ry per atom.